[1]
Material: Pr2NdDy5Ho
Method: DFT, PBE-GGA
State: relaxed

Values from the calculation:
DOS(E_F) = 1.178 states/eV/atom
Energy = -4.3926 eV per atom

Lattice parameters (Å, degrees): 8.7286 8.7286 9.9769 115.94 115.94 90.00
Positions (direct):
Nd 0.7500 0.7500 0.5000
Pr 0.3821 0.8821 0.0000
Dy 0.4280 0.3504 0.2784
Dy 0.8504 0.9280 0.2784
Ho 0.2500 0.7500 0.5000
Dy 0.1495 0.0720 0.7216
Pr 0.1179 0.3821 0.0000
Nd 0.2500 0.2500 0.5000
Pr 0.8821 0.6179 0.0000
Ho 0.7500 0.2500 0.5000
Dy 0.6496 0.1495 0.7216
Dy 0.5000 0.5000 0.0000
Dy 0.0720 0.5720 0.7216
Dy 0.3504 0.8504 0.2784
Dy 0.0000 0.0000 0.0000
Dy 0.5720 0.6496 0.7216
Pr 0.6179 0.1179 0.0000
Dy 0.9280 0.4280 0.2784

=====

[2]
Material: Pr3Nd2Dy6Ho
Method: DFT, PBE-GGA
State: relaxed

Values from the calculation:
DOS(E_F) = 1.204 states/eV/atom
Energy = -4.6577 eV per atom

Lattice parameters (Å, degrees): 6.2579 6.2579 11.8842 95.02 95.02 119.99
Positions (direct):
Dy 0.0827 0.4155 0.2480
Dy 0.4155 0.0827 0.2480
Dy 0.5845 0.9173 0.7520
Pr 0.5000 0.5000 0.5000
Nd 0.6665 0.3335 0.0000
Ho 0.0000 0.0000 0.0000
Dy 0.2498 0.2498 0.7518
Pr 0.1668 0.8332 0.5000
Pr 0.8332 0.1668 0.5000
Dy 0.7502 0.7502 0.2482
Nd 0.3335 0.6665 0.0000
Dy 0.9173 0.5845 0.7520

=====

[3]
Material: PrNd2Dy5Ho
Method: DFT, PBE-GGA
State: relaxed

Values from the calculation:
DOS(E_F) = 1.122 states/eV/atom
Energy = -4.3917 eV per atom

Lattice parameters (Å, degrees): 8.7597 8.7597 9.9331 116.16 116.16 90.00
Positions (direct):
Dy 0.5723 0.6524 0.7247
Pr 0.7500 0.7500 0.5000
Dy 0.0000 0.0000 0.0000
Dy 0.3476 0.8476 0.2753
Dy 0.8476 0.9277 0.2753
Dy 0.1524 0.0723 0.7247
Dy 0.9277 0.4277 0.2753
Dy 0.0723 0.5723 0.7247
Nd 0.6169 0.1169 0.0000
Ho 0.2500 0.7500 0.5000
Nd 0.3831 0.8831 0.0000
Dy 0.6524 0.1524 0.7247
Ho 0.7500 0.2500 0.5000
Dy 0.4277 0.3476 0.2753
Nd 0.1169 0.3831 0.0000
Nd 0.8831 0.6169 0.0000
Dy 0.5000 0.5000 0.0000
Pr 0.2500 0.2500 0.5000

=====

[4]
Material: PrNd2DyHo2
Method: DFT, PBE-GGA
State: relaxed

Values from the calculation:
DOS(E_F) = 1.478 states/eV/atom
Energy = -4.5302 eV per atom

Lattice parameters (Å, degrees): 3.5252 16.4927 7.0063 90.00 90.00 90.00
Positions (direct):
Nd 0.0000 0.6611 0.7532
Ho 0.0000 0.6532 0.2517
Dy 0.0000 0.0000 0.5000
Ho 0.5000 0.1532 0.2483
Nd 0.0000 0.3389 0.2468
Ho 0.5000 0.8468 0.7517
Ho 0.0000 0.3468 0.7483
Pr 0.5000 0.5000 0.5000
Nd 0.5000 0.8389 0.2532
Nd 0.5000 0.1611 0.7468
Dy 0.5000 0.5000 0.0000
Pr 0.0000 0.0000 0.0000

=====

[5]
Material: PrNdDy4Ho2
Method: DFT, PBE-GGA
State: relaxed

Values from the calculation:
DOS(E_F) = 2.307 states/eV/atom
Energy = -4.2168 eV per atom

Lattice parameters (Å, degrees): 9.5202 9.5202 11.8307 128.42 128.42 88.35
Last column: magnetic moment on the atom in μB.
Positions (direct):
Ho 0.0000 0.0000 0.5000  0.22
Dy 0.2534 0.2490 0.9971  0.23
Ho 0.5000 0.0000 0.0000  0.21
Dy 0.2559 0.7470 0.0012  0.22
Nd 0.0000 0.5000 0.5000  0.22
Dy 0.7466 0.7510 0.0029  0.23
Dy 0.2510 0.2466 0.5029  0.23
Dy 0.7490 0.7534 0.4971  0.23
Pr 0.5000 0.5000 0.5000  0.16
Nd 0.0000 0.5000 0.0000  0.22
Dy 0.2470 0.7559 0.5012  0.22
Dy 0.7530 0.2441 0.4988  0.22
Pr 0.0000 0.0000 0.0000  0.16
Dy 0.7441 0.2530 0.9988  0.22
Ho 0.5000 0.0000 0.5000  0.21
Ho 0.5000 0.5000 0.0000  0.22

=====

[6]
Material: Pr3Nd2DyHo6
Method: DFT, PBE-GGA
State: relaxed

Values from the calculation:
DOS(E_F) = 1.145 states/eV/atom
Energy = -4.6472 eV per atom

Lattice parameters (Å, degrees): 6.2478 6.2478 11.8342 95.03 95.03 119.99
Positions (direct):
Ho 0.0828 0.4157 0.2482
Nd 0.6665 0.3335 0.0000
Pr 0.8333 0.1667 0.5000
Ho 0.7500 0.7500 0.2483
Pr 0.1667 0.8333 0.5000
Ho 0.5843 0.9172 0.7518
Dy 0.0000 0.0000 0.0000
Ho 0.9172 0.5843 0.7518
Nd 0.3335 0.6665 0.0000
Pr 0.5000 0.5000 0.5000
Ho 0.2500 0.2500 0.7517
Ho 0.4157 0.0828 0.2482

=====

[7]
Material: Pr2NdDy6Ho3
Method: DFT, PBE-GGA
State: relaxed

Values from the calculation:
DOS(E_F) = 1.318 states/eV/atom
Energy = -4.6200 eV per atom

Lattice parameters (Å, degrees): 6.2010 6.2010 11.8362 95.00 95.00 119.98
Positions (direct):
Ho 0.5000 0.5000 0.5000
Dy 0.0855 0.4187 0.2548
Dy 0.5813 0.9145 0.7452
Ho 0.8334 0.1666 0.5000
Dy 0.9145 0.5813 0.7452
Pr 0.3333 0.6667 0.0000
Ho 0.1666 0.8334 0.5000
Pr 0.6667 0.3333 0.0000
Dy 0.7524 0.7524 0.2548
Dy 0.4187 0.0855 0.2548
Dy 0.2476 0.2476 0.7452
Nd 0.0000 0.0000 0.0000

=====

[8]
Material: Pr5Nd2DyHo
Method: DFT, PBE-GGA
State: relaxed

Values from the calculation:
DOS(E_F) = 1.585 states/eV/atom
Energy = -4.4613 eV per atom

Lattice parameters (Å, degrees): 8.6844 8.6844 10.4473 114.56 114.56 90.00
Positions (direct):
Pr 0.9260 0.4260 0.2870
Dy 0.2500 0.2500 0.5000
Pr 0.4260 0.3611 0.2870
Nd 0.8783 0.6217 0.0000
Dy 0.7500 0.7500 0.5000
Nd 0.3783 0.8783 0.0000
Pr 0.5000 0.5000 0.0000
Ho 0.7500 0.2500 0.5000
Ho 0.2500 0.7500 0.5000
Pr 0.1389 0.0740 0.7130
Pr 0.8611 0.9260 0.2870
Nd 0.6217 0.1217 0.0000
Pr 0.5740 0.6389 0.7130
Pr 0.3611 0.8611 0.2870
Pr 0.0000 0.0000 0.0000
Pr 0.0740 0.5740 0.7130
Pr 0.6389 0.1389 0.7130
Nd 0.1217 0.3783 0.0000